No. 1
{
  "formula": "BaPt2Br",
  "functional": "PBE",
  "state": "relaxed",
  "total_energy_ev_per_atom": -4.532,
  "formation_energy_uncorrected_ev_per_atom": -0.612,
  "space_group": "Pm",
  "magnetic_moment_mub_per_cell": 0.0,
  "lattice": [[3.736, 0.000, 0.000], [0.000, 3.808, -0.007], [0.000, 0.229, 8.215]],
  "species": ["Pt", "Ba", "Pt", "Br"],
  "fractional_positions": [[0.000, 0.886, 0.176], [0.000, 0.369, 0.483], [0.500, 0.388, 0.140], [0.500, 0.857, 0.701]]
}

No. 2
{
  "formula": "Li2HfAs2",
  "functional": "PBE",
  "state": "relaxed",
  "total_energy_ev_per_atom": -5.145,
  "space_group": "P4/mbm",
  "magnetic_moment_mub_per_cell": 0.0,
  "lattice": [[-0.018, -0.139, 7.504], [0.181, -7.502, -0.139], [3.042, 0.073, 0.009]],
  "species": ["As", "Li", "Hf", "As", "As", "Li", "As", "Li", "Hf", "Li"],
  "fractional_positions": [[0.323, 0.823, 0.000], [0.123, 0.623, 0.500], [0.000, 0.000, 0.000], [0.677, 0.177, 0.000], [0.177, 0.323, 0.000], [0.877, 0.377, 0.500], [0.823, 0.677, 0.000], [0.377, 0.123, 0.500], [0.500, 0.500, 0.000], [0.623, 0.877, 0.500]]
}

No. 3
{
  "formula": "Pm14ErPu",
  "functional": "PBE",
  "state": "relaxed",
  "total_energy_ev_per_atom": -5.296,
  "space_group": "P4/mmm",
  "magnetic_moment_mub_per_cell": 6.5,
  "lattice": [[-3.435, -5.421, 3.400], [1.804, -4.522, -5.389], [8.646, -2.400, 4.909]],
  "species": ["Pm", "Pm", "Pm", "Pm", "Er", "Pm", "Pm", "Pm", "Pm", "Pm", "Pm", "Pm", "Pu", "Pm", "Pm", "Pm"],
  "fractional_positions": [[0.626, 0.876, 0.246], [0.124, 0.876, 0.246], [0.124, 0.374, 0.246], [0.124, 0.374, 0.754], [0.375, 0.625, 0.000], [0.626, 0.374, 0.245], [0.375, 0.625, 0.500], [0.875, 0.125, 0.500], [0.375, 0.125, 0.000], [0.626, 0.876, 0.754], [0.626, 0.374, 0.755], [0.375, 0.125, 0.500], [0.875, 0.125, 0.000], [0.124, 0.876, 0.754], [0.875, 0.625, 0.500], [0.875, 0.625, 0.000]]
}

No. 4
{
  "formula": "CuNi2Hg",
  "functional": "PBE",
  "state": "relaxed",
  "total_energy_ev_per_atom": -3.820,
  "space_group": "I4/mmm",
  "magnetic_moment_mub_per_cell": 0.0,
  "lattice": [[4.520, -0.053, 0.000], [1.228, 4.350, 0.000], [-2.874, -2.148, 2.749]],
  "species": ["Cu", "Ni", "Ni", "Hg"],
  "fractional_positions": [[0.250, 0.750, 0.500], [0.500, 0.500, 0.000], [0.000, 0.000, 0.000], [0.750, 0.250, 0.500]]
}

No. 5
{
  "formula": "GaW",
  "functional": "PBE",
  "state": "relaxed",
  "total_energy_ev_per_atom": -6.737,
  "space_group": "P6_3/mmc",
  "magnetic_moment_mub_per_cell": 0.0,
  "lattice": [[4.383, 0.000, 0.000], [-2.191, 3.795, 0.000], [0.000, 0.000, 5.003]],
  "species": ["W", "Ga", "W", "Ga"],
  "fractional_positions": [[0.667, 0.333, 0.250], [0.333, 0.667, 0.250], [0.333, 0.667, 0.750], [0.667, 0.333, 0.750]]
}

No. 6
{
  "formula": "RbTlReO6",
  "functional": "PBE",
  "state": "relaxed",
  "total_energy_ev_per_atom": -6.212,
  "formation_energy_uncorrected_ev_per_atom": -1.153,
  "space_group": "P1",
  "magnetic_moment_mub_per_cell": 1.1,
  "lattice": [[5.785, 0.116, 0.118], [2.987, 5.283, 0.203], [0.116, 0.158, 5.969]],
  "species": ["Rb", "O", "Re", "O", "Tl", "O", "O", "O", "O"],
  "fractional_positions": [[0.024, 0.059, 0.013], [0.003, 0.404, 0.351], [0.366, 0.331, 0.485], [0.376, 0.006, 0.655], [0.666, 0.693, 0.505], [0.078, 0.483, 0.705], [0.600, 0.317, 0.678], [0.328, 0.610, 0.327], [0.558, 0.097, 0.281]]
}

No. 7
{
  "formula": "Ca3LaZn8",
  "functional": "PBE",
  "state": "relaxed",
  "total_energy_ev_per_atom": -2.037,
  "space_group": "P3m1",
  "magnetic_moment_mub_per_cell": 0.0,
  "lattice": [[-1.940, 4.047, 3.461], [3.594, -3.920, 1.958], [6.846, 5.172, -2.211]],
  "species": ["Zn", "La", "Zn", "Zn", "Zn", "Zn", "Ca", "Zn", "Ca", "Zn", "Zn", "Ca"],
  "fractional_positions": [[0.662, 0.831, 0.249], [0.000, 0.000, 0.558], [0.169, 0.831, 0.249], [0.499, 0.997, 0.751], [0.333, 0.667, 0.999], [0.003, 0.501, 0.751], [0.667, 0.333, 0.440], [0.333, 0.667, 0.501], [0.667, 0.333, 0.056], [0.169, 0.338, 0.249], [0.499, 0.501, 0.751], [0.000, 0.000, 0.947]]
}

No. 8
{
  "formula": "LiAcLuSc",
  "functional": "PBE",
  "state": "relaxed",
  "total_energy_ev_per_atom": -4.037,
  "space_group": "F-43m",
  "magnetic_moment_mub_per_cell": 0.0,
  "lattice": [[5.526, 0.000, 0.000], [2.763, 4.785, 0.000], [2.763, 1.595, 4.512]],
  "species": ["Sc", "Ac", "Li", "Lu"],
  "fractional_positions": [[0.500, 0.500, 0.500], [0.250, 0.250, 0.250], [0.000, 0.000, 0.000], [0.750, 0.750, 0.750]]
}

No. 9
{
  "formula": "Zn3RhO",
  "functional": "PBE",
  "state": "relaxed",
  "total_energy_ev_per_atom": -2.602,
  "formation_energy_uncorrected_ev_per_atom": 0.624,
  "space_group": "Pm-3m",
  "magnetic_moment_mub_per_cell": 0.0,
  "lattice": [[-3.624, -1.749, -2.475], [1.261, -4.379, 1.248], [-2.756, 0.296, 3.825]],
  "species": ["Zn", "Rh", "Zn", "Zn", "O"],
  "fractional_positions": [[0.500, 0.000, 0.000], [0.000, 0.000, 0.000], [0.000, 0.500, 0.000], [0.000, 0.000, 0.500], [0.500, 0.500, 0.500]]
}

No. 10
{
  "formula": "Li3AcCd9",
  "functional": "PBE",
  "state": "relaxed",
  "total_energy_ev_per_atom": -1.633,
  "space_group": "C2/m",
  "magnetic_moment_mub_per_cell": 0.0,
  "lattice": [[-3.034, -2.376, 3.905], [-2.032, -7.156, -2.040], [4.484, -3.773, 5.043]],
  "species": ["Cd", "Cd", "Cd", "Cd", "Cd", "Li", "Cd", "Cd", "Ac", "Cd", "Cd", "Li", "Li"],
  "fractional_positions": [[0.641, 0.345, 0.356], [0.997, 0.345, 0.644], [0.359, 0.655, 0.644], [0.000, 0.500, 0.000], [0.003, 0.655, 0.356], [0.500, 0.000, 0.500], [0.717, 0.786, 0.774], [0.509, 0.214, 0.774], [0.000, 0.000, 0.000], [0.491, 0.786, 0.226], [0.283, 0.214, 0.226], [0.500, 0.500, 0.000], [0.000, 0.000, 0.500]]
}

No. 11
{
  "formula": "Sr4SiBr2Cl",
  "functional": "PBE",
  "state": "relaxed",
  "total_energy_ev_per_atom": -3.503,
  "formation_energy_uncorrected_ev_per_atom": -1.335,
  "space_group": "P2/m",
  "magnetic_moment_mub_per_cell": 0.0,
  "lattice": [[4.607, 0.000, 0.000], [0.000, 7.944, -0.207], [0.000, 2.750, 7.219]],
  "species": ["Sr", "Si", "Sr", "Br", "Sr", "Br", "Sr", "Cl"],
  "fractional_positions": [[0.000, 0.726, 0.742], [0.000, 0.500, 0.500], [0.500, 0.719, 0.274], [0.500, 0.000, 0.500], [0.500, 0.281, 0.726], [0.000, 0.000, 0.000], [0.000, 0.274, 0.258], [0.500, 0.500, 0.000]]
}

No. 12
{
  "formula": "Na3CeEr2Te6",
  "functional": "PBE",
  "state": "relaxed",
  "total_energy_ev_per_atom": -4.438,
  "formation_energy_uncorrected_ev_per_atom": -1.282,
  "space_group": "C2/m",
  "magnetic_moment_mub_per_cell": 1.0,
  "lattice": [[-3.542, 0.075, -6.866], [-4.107, -1.082, 6.454], [1.543, 7.787, 0.742]],
  "species": ["Te", "Te", "Te", "Te", "Te", "Na", "Na", "Te", "Er", "Na", "Er", "Ce"],
  "fractional_positions": [[0.078, 0.422, 0.233], [0.422, 0.078, 0.233], [0.734, 0.734, 0.233], [0.578, 0.922, 0.767], [0.266, 0.266, 0.767], [0.836, 0.164, 0.500], [0.164, 0.836, 0.500], [0.922, 0.578, 0.767], [0.333, 0.667, 0.000], [0.500, 0.500, 0.500], [0.667, 0.333, 0.000], [0.000, 0.000, 0.000]]
}

No. 13
{
  "formula": "Tm4Al3Cd",
  "functional": "PBE",
  "state": "relaxed",
  "total_energy_ev_per_atom": -4.124,
  "space_group": "P4/mmm",
  "magnetic_moment_mub_per_cell": 0.0,
  "lattice": [[-1.124, 3.239, 0.952], [-1.820, 0.264, -3.045], [-11.644, -5.937, 6.446]],
  "species": ["Tm", "Cd", "Tm", "Al", "Tm", "Al", "Tm", "Al"],
  "fractional_positions": [[0.000, 0.000, 0.137], [0.500, 0.500, 0.000], [0.000, 0.000, 0.379], [0.500, 0.500, 0.743], [0.000, 0.000, 0.863], [0.500, 0.500, 0.500], [0.000, 0.000, 0.621], [0.500, 0.500, 0.257]]
}

No. 14
{
  "formula": "Sr5C4",
  "functional": "PBE",
  "state": "relaxed",
  "total_energy_ev_per_atom": -3.977,
  "space_group": "P6_3/mcm",
  "magnetic_moment_mub_per_cell": 8.6,
  "lattice": [[7.998, 0.000, 0.000], [-3.999, 6.926, 0.000], [0.000, 0.000, 7.253]],
  "species": ["Sr", "C", "Sr", "Sr", "C", "Sr", "C", "Sr", "C", "C", "Sr", "Sr", "Sr", "Sr", "C", "C", "C", "Sr"],
  "fractional_positions": [[0.000, 0.753, 0.250], [0.583, 0.000, 0.750], [0.667, 0.333, 0.500], [0.333, 0.667, 0.000], [0.000, 0.583, 0.750], [0.333, 0.667, 0.500], [0.000, 0.000, 0.000], [0.753, 0.000, 0.250], [0.417, 0.000, 0.250], [0.000, 0.000, 0.500], [0.000, 0.247, 0.750], [0.247, 0.247, 0.250], [0.247, 0.000, 0.750], [0.753, 0.753, 0.750], [0.000, 0.417, 0.250], [0.583, 0.583, 0.250], [0.417, 0.417, 0.750], [0.667, 0.333, 0.000]]
}

No. 15
{
  "formula": "LaSmDy2",
  "functional": "PBE",
  "state": "relaxed",
  "total_energy_ev_per_atom": -4.686,
  "space_group": "P4/mmm",
  "magnetic_moment_mub_per_cell": 0.0,
  "lattice": [[3.632, 0.000, 0.000], [0.000, 3.632, 0.000], [0.000, 0.000, 10.146]],
  "species": ["La", "Dy", "Dy", "Sm"],
  "fractional_positions": [[0.500, 0.500, 0.500], [0.000, 0.000, 0.754], [0.000, 0.000, 0.246], [0.500, 0.500, 0.000]]
}

No. 16
{
  "formula": "Ba2CaTeIr",
  "functional": "PBE",
  "state": "relaxed",
  "total_energy_ev_per_atom": -4.174,
  "formation_energy_uncorrected_ev_per_atom": -0.604,
  "space_group": "P4/mmm",
  "magnetic_moment_mub_per_cell": 0.0,
  "lattice": [[6.012, 0.000, 0.000], [0.000, 6.012, 0.000], [0.000, 0.000, 5.449]],
  "species": ["Ir", "Te", "Ba", "Ca", "Ba"],
  "fractional_positions": [[0.000, 0.000, 0.000], [0.500, 0.500, 0.500], [0.000, 0.500, 0.000], [0.000, 0.000, 0.500], [0.500, 0.000, 0.000]]
}

No. 17
{
  "formula": "LaMg3Be",
  "functional": "PBE",
  "state": "relaxed",
  "total_energy_ev_per_atom": -2.573,
  "space_group": "Pm-3m",
  "magnetic_moment_mub_per_cell": 0.0,
  "lattice": [[4.890, 0.000, 0.000], [0.000, 4.890, 0.000], [0.000, 0.000, 4.890]],
  "species": ["Mg", "Mg", "Be", "La", "Mg"],
  "fractional_positions": [[0.500, 0.000, 0.000], [0.000, 0.500, 0.000], [0.000, 0.000, 0.000], [0.500, 0.500, 0.500], [0.000, 0.000, 0.500]]
}

No. 18
{
  "formula": "BaLiCuSn",
  "functional": "PBE",
  "state": "relaxed",
  "total_energy_ev_per_atom": -3.214,
  "space_group": "F-43m",
  "magnetic_moment_mub_per_cell": 0.0,
  "lattice": [[-3.950, -1.762, -2.789], [0.872, -2.377, -4.480], [-0.793, -5.067, -0.422]],
  "species": ["Sn", "Li", "Cu", "Ba"],
  "fractional_positions": [[0.250, 0.250, 0.250], [0.000, 0.000, 0.000], [0.500, 0.500, 0.500], [0.750, 0.750, 0.750]]
}

No. 19
{
  "formula": "CsRbSrH4",
  "functional": "PBE",
  "state": "relaxed",
  "total_energy_ev_per_atom": -2.723,
  "space_group": "I4mm",
  "magnetic_moment_mub_per_cell": 0.0,
  "lattice": [[-4.555, -0.615, 1.274], [1.368, -3.012, 3.437], [2.174, 7.680, 2.554]],
  "species": ["H", "Rb", "H", "Sr", "H", "Cs", "H"],
  "fractional_positions": [[0.496, 0.996, 0.993], [0.353, 0.353, 0.706], [0.163, 0.163, 0.326], [0.000, 0.000, 0.000], [0.841, 0.841, 0.682], [0.650, 0.650, 0.300], [0.996, 0.496, 0.993]]
}

No. 20
{
  "formula": "NaCa2SiNi",
  "functional": "PBE",
  "state": "relaxed",
  "total_energy_ev_per_atom": -3.481,
  "formation_energy_uncorrected_ev_per_atom": -0.175,
  "space_group": "P4/mmm",
  "magnetic_moment_mub_per_cell": 0.0,
  "lattice": [[-4.886, 2.512, -0.450], [-1.749, -2.588, 4.542], [1.477, 3.313, 2.456]],
  "species": ["Si", "Na", "Ca", "Ni", "Ca"],
  "fractional_positions": [[0.000, 0.000, 0.500], [0.500, 0.500, 0.500], [0.000, 0.500, 0.000], [0.000, 0.000, 0.000], [0.500, 0.000, 0.000]]
}